No. 1
5
Lattice="4.938 0.000 0.000 0.000 4.938 0.000 0.000 0.000 3.638" Properties=species:S:1:pos:R:3 comment="MgScP2O PBE-GGA relaxed" dos_at_fermi_per_ev_cell=4.61 energy_ev_per_atom=-5.01 e_form_raw_mev_per_atom=-272 m_tot_mub_per_cell=0.00 pbc="T T T"
Sc 2.469 2.469 1.819
P 0.000 2.469 0.000
P 2.469 0.000 0.000
Mg 0.000 0.000 0.000
O 0.000 0.000 1.819

=====

No. 2
18
Lattice="-12.691 0.796 -2.967 -12.392 0.600 4.072 -11.215 6.654 0.662" Properties=species:S:1:pos:R:3 comment="Sr2DyCd3Hg12 PBE-GGA relaxed" dos_at_fermi_per_ev_cell=11.05 energy_ev_per_atom=-0.95 ef_ev_per_atom=-0.156 m_tot_mub_per_cell=0.00 pbc="T T T"
Sr -23.077 5.118 1.124
Sr -13.220 2.932 0.644
Dy 0.000 0.000 0.000
Cd -6.346 0.398 -1.483
Cd -6.196 0.300 2.036
Cd -5.608 3.327 0.331
Hg -19.720 6.199 1.011
Hg -26.562 3.960 1.240
Hg -25.878 6.675 2.921
Hg -20.367 3.632 -0.579
Hg -26.017 6.766 -0.340
Hg -20.236 3.547 2.505
Hg -16.578 1.851 0.756
Hg -9.735 4.090 0.528
Hg -10.419 1.375 -1.154
Hg -15.931 4.418 2.346
Hg -10.281 1.285 2.108
Hg -16.062 4.504 -0.738

=====

No. 3
4
Lattice="3.736 0.000 0.000 1.868 3.235 0.000 1.868 1.078 10.149" Properties=species:S:1:pos:R:3 comment="NdBi2Pt PBE-GGA relaxed" dos_at_fermi_per_ev_cell=3.92 energy_ev_per_atom=-4.72 ef_ev_per_atom=-0.080 m_tot_mub_per_cell=0.00 pbc="T T T"
Nd 0.000 0.000 0.000
Bi 1.868 1.078 6.877
Bi 5.603 3.235 3.272
Pt 3.736 2.157 5.075

=====

No. 4
8
Lattice="3.932 0.000 0.000 0.000 7.879 -0.234 0.000 2.695 6.846" Properties=species:S:1:pos:R:3 comment="ZrTl2AgSe4 PBE-GGA relaxed" dos_at_fermi_per_ev_cell=2.97 energy_ev_per_atom=-4.39 e_form_raw_mev_per_atom=-630 m_tot_mub_per_cell=0.00 pbc="T T T"
Zr 0.000 5.287 3.306
Tl 0.000 2.695 6.846
Tl 1.966 1.348 3.423
Ag 1.966 3.939 -0.117
Se 0.000 7.470 5.048
Se 3.932 3.104 1.565
Se 1.966 6.412 1.825
Se 1.966 4.162 4.788

=====

No. 5
5
Lattice="5.254 0.000 0.000 0.000 5.254 0.000 0.000 0.000 5.254" Properties=species:S:1:pos:R:3 comment="NbTl3Tc PBE-GGA relaxed" dos_at_fermi_per_ev_cell=6.27 energy_ev_per_atom=-4.25 ef_ev_per_atom=1.256 m_tot_mub_per_cell=4.55 pbc="T T T"
Tl 0.000 2.627 0.000
Tl 0.000 0.000 2.627
Tl 2.627 0.000 0.000
Tc 0.000 0.000 0.000
Nb 2.627 2.627 2.627

=====

No. 6
10
Lattice="-0.055 1.530 5.545 -4.827 1.094 2.582 -2.036 -3.860 4.250" Properties=species:S:1:pos:R:3 comment="PmIn2PdO6 PBE-GGA relaxed" energy_ev_per_atom=-6.12 e_form_raw_mev_per_atom=-1603 m_tot_mub_per_cell=1.00 pbc="T T T"
Pm -5.147 -0.227 9.041
In -3.451 -0.207 6.053
In -2.044 -3.638 4.156
Pd -1.655 0.683 2.727
O -1.583 0.239 5.125
O -4.991 0.422 4.679
O -3.455 1.125 7.746
O -4.985 -1.588 7.188
O -2.284 -1.776 7.542
O -3.374 -2.158 4.942